Entry 1:
A relaxed structure of NaMnIn2Ru. Source: Alexandria, functional PBE.

Unit cell a=5.066 b=4.418 c=5.066 alpha=90.00 beta=90.00 gamma=90.00
Each line ends with the local moment (μB).
Fractional positions:
1 Ru 0.000 0.500 0.000  0.26
2 Mn 0.000 0.000 0.000  0.79
3 Na 0.500 0.500 0.500  0.00
4 In 0.000 0.000 0.500  -0.03
5 In 0.500 0.000 0.000  -0.04

V	22.7	Å³ per atom
space group	No. 123
D(E_F)	4.4	states/eV/cell
formation energy	530	meV per atom



Entry 2:
A relaxed structure of TlSnBi. Source: Alexandria, functional PBE.

Unit cell a=3.412 b=5.595 c=5.595 alpha=120.00 beta=90.00 gamma=90.00
Fractional positions:
1 Tl 0.667 0.667 0.333
2 Bi 0.172 0.333 0.667
3 Sn 0.161 0.000 0.000

V	30.8	Å³ per atom
space group	No. 156
D(E_F)	1.7	states/eV/cell
formation energy	2	meV per atom



Entry 3:
A relaxed structure of Y4Tl2Pb. Source: Alexandria, functional PBE.

Unit cell a=8.121 b=8.124 c=8.124 alpha=109.58 beta=109.58 gamma=109.26
Fractional positions:
1 Y 0.018 0.268 0.394
2 Y 0.375 0.482 0.250
3 Y 0.875 0.625 0.606
4 Y 0.732 0.125 0.750
5 Y 0.375 0.982 0.250
6 Y 0.232 0.126 0.750
7 Y 0.518 0.768 0.894
8 Y 0.875 0.624 0.106
9 Tl 0.503 0.375 0.628
10 Tl 0.746 0.875 0.371
11 Tl 0.625 0.253 0.128
12 Tl 0.125 0.497 0.872
13 Pb 0.250 0.750 0.500
14 Pb 0.000 0.000 0.000

V	29.5	Å³ per atom
space group	No. 122
D(E_F)	11.9	states/eV/cell
formation energy	-385	meV per atom